[1]
! PBE Np2MnPd9, optimized geometry; values from VASP
! Crystal system   tetragonal
! Symmetry   P4/mmm (123)
&SYSTEM
  ibrav = 0, nat = 12, ntyp = 3
/
ATOMIC_SPECIES
Np 237.00 Np.upf
Mn 54.94 Mn.upf
Pd 106.42 Pd.upf
CELL_PARAMETERS angstrom
-3.871 0.475 -1.220
-0.848 -3.810 1.208
-2.954 4.140 10.984
ATOMIC_POSITIONS angstrom
Np -0.958 1.342 3.561
Np -1.996 2.797 7.423
Mn 0.000 0.000 0.000
Pd -2.360 -1.668 -0.006
Pd -3.334 -0.302 3.618
Pd -4.339 1.106 7.354
Pd -2.405 0.896 1.138
Pd -3.412 2.307 4.882
Pd -4.419 3.718 8.626
Pd -0.894 -1.246 2.352
Pd -1.901 0.165 6.096
Pd -2.908 1.576 9.840

[2]
! PBE Ac2ErSb, optimized geometry; values from VASP
! Raw formation energy   0.11 eV/atom
! Crystal system   trigonal
! Symmetry   R-3m (166)
! ΔE to the lowest computed polymorph   0.534 eV/atom
&SYSTEM
  ibrav = 0, nat = 4, ntyp = 3
/
ATOMIC_SPECIES
Sb 121.76 Sb.upf
Ac 227.00 Ac.upf
Er 167.26 Er.upf
CELL_PARAMETERS angstrom
-1.011 2.513 2.602
1.674 -0.001 3.362
9.015 8.909 -2.391
ATOMIC_POSITIONS angstrom
Sb 0.000 0.000 0.000
Ac 6.714 6.798 -1.246
Ac 2.964 4.623 4.818
Er 4.839 5.711 1.786

[3]
! PBE KScTlB2, optimized geometry; values from VASP
! Crystal system   tetragonal
! Symmetry   P4/mmm (123)
&SYSTEM
  ibrav = 0, nat = 5, ntyp = 4
/
ATOMIC_SPECIES
Sc 44.96 Sc.upf
Tl 204.38 Tl.upf
B 10.81 B.upf
K 39.10 K.upf
CELL_PARAMETERS angstrom
-0.050 -2.490 4.176
-4.031 -2.314 -1.429
2.863 -3.660 -2.148
ATOMIC_POSITIONS angstrom
Sc 1.431 -1.830 -1.074
Tl -0.609 -4.232 0.300
B -2.015 -1.157 -0.714
B -0.025 -1.245 2.088
K 0.000 0.000 0.000

[4]
! PBE NaNp2NiS4, optimized geometry; values from VASP
! Raw formation energy   -1.21 eV/atom
! Crystal system   orthorhombic
! Symmetry   Cmcm (63)
&SYSTEM
  ibrav = 0, nat = 16, ntyp = 4
/
ATOMIC_SPECIES
Na 22.99 Na.upf
Np 237.00 Np.upf
Ni 58.69 Ni.upf
S 32.06 S.upf
CELL_PARAMETERS angstrom
-0.867 -1.255 -3.563
6.652 -1.163 0.898
-2.800 -12.176 4.970
ATOMIC_POSITIONS angstrom
Na -0.772 -9.514 3.539
Na 3.757 -5.080 -1.233
Np 2.967 -8.166 2.154
Np 1.064 -1.879 -1.705
Np 0.018 -6.428 0.152
Np 1.922 -12.715 4.010
Ni 1.632 -10.959 1.355
Ni 1.353 -3.635 0.951
S 3.007 -2.372 0.103
S 0.728 -8.959 0.870
S -0.022 -12.222 2.202
S 2.257 -5.635 1.435
S -1.400 -6.088 2.485
S 0.000 0.000 0.000
S 3.275 -10.680 2.964
S -0.290 -3.914 -0.659

Energy values (in eV per atom) by entry order: -7.1849; -4.1136; -2.2439; -7.3989.
Magnetization values (in Bohr magnetons per cell) by entry order: 10.46; 0.00; 0.25; 14.00.
Density of states at the Fermi level values (in states/eV per atom) by entry order: 2.454; 1.336; 0.934; 2.098.